## i
Density functional theory data (GGA-PBE) for CrIrSe2 after structural relaxation.

Values from the calculation:
As for the spin magnetization: 2.7 μB per formula unit. The density of states at the Fermi level comes out at 4.5 states/eV/f.u.

Cell lengths 4.5498, 4.5498, 4.5498 Å; angles 60.00, 60.00, 60.00 degrees
Last column: nearest neighbours and their distance in Å.
Fractional coordinates of all 4 atoms:
1 Se 0.0000 0.0000 0.0000  4 Ir 2.79, 4 Se 2.79
2 Se 0.7500 0.7500 0.7500  4 Cr 2.79, 4 Se 2.79
3 Ir 0.2500 0.2500 0.2500  4 Cr 2.79, 4 Se 2.79
4 Cr 0.5000 0.5000 0.5000  4 Se 2.79, 4 Ir 2.79

## ii
Density functional theory data (GGA-PBE) for CrIrSe2 after structural relaxation.

Values from the calculation:
As for the spin magnetization: 0.0 μB per formula unit. The density of states at the Fermi level comes out at 4.5 states/eV/f.u.

Cell lengths 3.0935, 3.0935, 6.2665 Å; angles 90.00, 90.00, 90.00 degrees
Last column: nearest neighbours and their distance in Å.
Fractional coordinates of all 4 atoms:
1 Cr 0.5000 0.5000 0.2500  8 Se 2.62
2 Se 0.0000 0.0000 0.4804  4 Cr 2.62, 4 Ir 2.76, 1 Se 2.89
3 Se 0.0000 0.0000 0.0196  4 Cr 2.62, 4 Ir 2.76, 1 Se 2.89
4 Ir 0.5000 0.5000 0.7500  8 Se 2.76, 4 Ir 3.09

Going by the energies, ii is most stable and the next is 0.288 eV/atom up.

## i
Density functional theory data (GGA-PBE) for CrIrSe2 after structural relaxation.

Values from the calculation:
As for the spin magnetization: 2.9 μB per formula unit. The density of states at the Fermi level comes out at 3.7 states/eV/f.u.

Cell lengths 5.3090, 5.3090, 5.3090 Å; angles 138.18, 138.18, 60.62 degrees
Last column: nearest neighbours and their distance in Å.
Fractional coordinates of all 4 atoms:
1 Se 0.2500 0.7500 0.5000  4 Ir 2.68, 4 Se 2.97, 4 Cr 2.97
2 Se 0.0000 0.0000 0.0000  4 Cr 2.68, 4 Se 2.97, 4 Ir 2.97
3 Ir 0.7500 0.2500 0.5000  8 Se 2.68-2.97, 4 Cr 2.97
4 Cr 0.5000 0.5000 0.0000  8 Se 2.68-2.97, 4 Ir 2.97

## ii
Density functional theory data (GGA-PBE) for CrIrSe2 after structural relaxation.

Values from the calculation:
As for the spin magnetization: 3.0 μB per formula unit. The density of states at the Fermi level comes out at 2.3 states/eV/f.u.

Cell lengths 7.0476, 7.0476, 7.0476 Å; angles 148.36, 148.96, 44.91 degrees
Last column: nearest neighbours and their distance in Å.
Fractional coordinates of all 4 atoms:
1 Ir 0.7500 0.2500 0.5000  4 Se 2.52, 4 Cr 2.69
2 Se 0.1220 0.1220 0.0000  2 Ir 2.52, 2 Cr 2.54
3 Se 0.3780 0.3780 0.0000  2 Ir 2.52, 2 Cr 2.54
4 Cr 0.2500 0.7500 0.5000  4 Se 2.54, 4 Ir 2.69

## iii
Density functional theory data (GGA-PBE) for CrIrSe2 after structural relaxation.

Values from the calculation:
As for the spin magnetization: 3.2 μB per formula unit. The density of states at the Fermi level comes out at 2.3 states/eV/f.u.

Cell lengths 3.1271, 3.2609, 6.9763 Å; angles 90.11, 90.00, 90.00 degrees
Last column: nearest neighbours and their distance in Å.
Fractional coordinates of all 4 atoms:
1 Se 0.0000 0.7496 0.0295  2 Ir 2.50, 4 Cr 2.73
2 Se 0.0000 0.7504 0.4705  2 Ir 2.50, 4 Cr 2.73
3 Ir 0.5000 0.7500 0.7500  4 Se 2.50
4 Cr 0.5000 0.2500 0.2500  8 Se 2.73

## iv
Density functional theory data (GGA-PBE) for CrIrSe2 after structural relaxation.

Values from the calculation:
As for the spin magnetization: 0.0 μB per formula unit. The density of states at the Fermi level comes out at 3.0 states/eV/f.u.

Cell lengths 2.8688, 2.8688, 8.6705 Å; angles 90.00, 90.00, 90.00 degrees
Last column: nearest neighbours and their distance in Å.
Fractional coordinates of all 4 atoms:
1 Se 0.5000 0.5000 0.3444  4 Cr 2.51
2 Se 0.0000 0.0000 0.9268  4 Ir 2.74, 4 Se 2.87
3 Cr 0.0000 0.0000 0.5144  4 Se 2.51, 4 Ir 2.67
4 Ir 0.5000 0.5000 0.7144  4 Cr 2.67, 4 Se 2.74, 4 Ir 2.87

Going by the energies, ii is most stable and the next is 0.273 eV/atom up.

## i
Density functional theory data (GGA-PBE) for CrIrSe2 after structural relaxation.

Values from the calculation:
As for the spin magnetization: 3.5 μB per formula unit. The density of states at the Fermi level comes out at 2.8 states/eV/f.u.

Cell lengths 4.6176, 4.6176, 4.5427 Å; angles 67.61, 67.61, 104.39 degrees
Last column: nearest neighbours and their distance in Å.
Fractional coordinates of all 4 atoms:
1 Se 0.0000 0.0000 0.0000  2 Ir 2.55, 2 Cr 2.55, 2 Se 2.83
2 Se 0.5000 0.5000 0.0000  2 Cr 2.55, 2 Ir 2.55, 2 Se 2.83
3 Cr 0.5000 0.0000 0.5000  4 Se 2.55, 2 Ir 2.83
4 Ir 0.0000 0.5000 0.5000  4 Se 2.55, 2 Cr 2.83

## ii
Density functional theory data (GGA-PBE) for CrIrSe2 after structural relaxation.

Values from the calculation:
As for the spin magnetization: 3.6 μB per formula unit. The density of states at the Fermi level comes out at 2.7 states/eV/f.u.

Cell lengths 4.5187, 4.5063, 3.1692 Å; angles 90.00, 90.00, 90.00 degrees
Last column: nearest neighbours and their distance in Å.
Fractional coordinates of all 4 atoms:
1 Se 0.5000 0.5000 0.0000  4 Cr 2.75, 4 Ir 2.76
2 Se 0.0000 0.0000 0.0000  4 Ir 2.75, 4 Cr 2.76
3 Cr 0.5000 0.0000 0.5000  8 Se 2.75-2.76
4 Ir 0.0000 0.5000 0.5000  8 Se 2.75-2.76

## iii
Density functional theory data (GGA-PBE) for CrIrSe2 after structural relaxation.

Values from the calculation:
As for the spin magnetization: 1.3 μB per formula unit. The density of states at the Fermi level comes out at 3.3 states/eV/f.u.

Cell lengths 9.7573, 9.7573, 9.7573 Å; angles 17.71, 17.71, 17.71 degrees
Last column: nearest neighbours and their distance in Å.
Fractional coordinates of all 4 atoms:
1 Se 0.2205 0.2205 0.2205  3 Cr 2.38
2 Se 0.0250 0.0250 0.0250  3 Ir 2.57
3 Cr 0.4973 0.4973 0.4973  3 Se 2.38
4 Ir 0.7573 0.7573 0.7573  3 Se 2.57, 3 Cr 2.73

## iv
Density functional theory data (GGA-PBE) for CrIrSe2 after structural relaxation.

Values from the calculation:
As for the spin magnetization: 0.1 μB per formula unit. The density of states at the Fermi level comes out at 3.2 states/eV/f.u.

Cell lengths 8.1933, 8.1933, 8.1933 Å; angles 21.66, 21.66, 21.66 degrees
Last column: nearest neighbours and their distance in Å.
Fractional coordinates of all 4 atoms:
1 Se 0.9007 0.9007 0.9007  1 Ir 2.38, 3 Cr 2.40
2 Se 0.0993 0.0993 0.0993  1 Ir 2.38, 3 Cr 2.40
3 Cr 0.5000 0.5000 0.5000  6 Se 2.40
4 Ir 0.0000 0.0000 0.0000  2 Se 2.38

Going by the energies, iv is most stable and the next is 0.037 eV/atom up.

## i
Density functional theory data (GGA-PBE) for CrIrSe2 after structural relaxation.

Values from the calculation:
As for the spin magnetization: 0.0 μB per formula unit. The density of states at the Fermi level comes out at 5.4 states/eV/f.u.

Cell lengths 4.4056, 4.4056, 4.4056 Å; angles 60.00, 60.00, 60.00 degrees
Last column: nearest neighbours and their distance in Å.
Fractional coordinates of all 4 atoms:
1 Ir 0.5000 0.5000 0.5000  8 Se 2.70
2 Se 0.2500 0.2500 0.2500  4 Cr 2.70, 4 Ir 2.70
3 Se 0.7500 0.7500 0.7500  4 Ir 2.70, 4 Cr 2.70
4 Cr 0.0000 0.0000 0.0000  8 Se 2.70

## ii
Density functional theory data (GGA-PBE) for CrIrSe2 after structural relaxation.

Values from the calculation:
As for the spin magnetization: 2.4 μB per formula unit. The density of states at the Fermi level comes out at 3.2 states/eV/f.u.

Cell lengths 4.5474, 4.5474, 8.0209 Å; angles 73.53, 73.53, 90.00 degrees
Last column: nearest neighbours and their distance in Å.
Fractional coordinates of all 8 atoms:
1 Se 0.1267 0.6250 0.2500  2 Cr 2.44, 2 Ir 2.44
2 Se 0.6233 0.1250 0.2500  2 Cr 2.44, 2 Ir 2.44
3 Se 0.8750 0.8733 0.7500  2 Cr 2.44, 2 Ir 2.44
4 Se 0.3750 0.3767 0.7500  2 Cr 2.44, 2 Ir 2.44
5 Ir 0.7500 0.2500 0.5000  4 Se 2.44
6 Ir 0.0000 0.0000 0.0000  4 Se 2.44
7 Cr 0.5000 0.5000 0.0000  4 Se 2.44
8 Cr 0.2500 0.7500 0.5000  4 Se 2.44

Going by the energies, ii is most stable and the next is 0.308 eV/atom up.

## i
Density functional theory data (GGA-PBE) for Sr2CrIr after structural relaxation.

Values from the calculation:
As for the spin magnetization: 3.8 μB per formula unit. The density of states at the Fermi level comes out at 3.6 states/eV/f.u.

Cell lengths 4.3655, 4.8382, 6.1450 Å; angles 66.79, 90.00, 90.00 degrees
Last column: nearest neighbours and their distance in Å.
Fractional coordinates of all 4 atoms:
1 Cr 0.0000 0.6683 0.5391  2 Ir 2.39
2 Ir 0.5000 0.5808 0.7125  2 Cr 2.39
3 Sr 0.0000 0.9813 0.9123  3 Cr 3.21-3.54, 4 Ir 3.45
4 Sr 0.5000 0.2696 0.3361  3 Ir 3.22-3.52, 4 Cr 3.45-3.46

## ii
Density functional theory data (GGA-PBE) for Sr2CrIr after structural relaxation.

Values from the calculation:
As for the spin magnetization: 3.0 μB per formula unit. The density of states at the Fermi level comes out at 4.5 states/eV/f.u.

Cell lengths 3.5404, 3.5394, 8.9899 Å; angles 90.00, 90.00, 90.00 degrees
Last column: nearest neighbours and their distance in Å.
Fractional coordinates of all 4 atoms:
1 Cr 0.0000 0.0000 0.5896  4 Ir 2.59
2 Sr 0.5000 0.5000 0.3250  1 Ir 3.06
3 Sr 0.0000 0.0000 0.9205  1 Cr 2.97
4 Ir 0.5000 0.5000 0.6650  4 Cr 2.59

Going by the energies, i is most stable and the next is 0.146 eV/atom up.